Model one:
# CsBeS3

Crystalline CsBeS3 at its relaxed geometry (PBE, Alexandria).

```
data_CsBeS3
_chemical_formula_sum 'Cs1 Be1 S3'
_space_group_name_H-M_alt 'P 1'
_space_group_IT_number 1
_space_group_name_Hall 'P 1'
_cell_length_a 5.6308
_cell_length_b 5.6308
_cell_length_c 5.6308
_cell_angle_alpha 90.00
_cell_angle_beta 90.00
_cell_angle_gamma 90.00
loop_
_atom_site_label
_atom_site_type_symbol
_atom_site_fract_x
_atom_site_fract_y
_atom_site_fract_z
Cs1 Cs 0.0000 0.0000 0.0000
Be1 Be 0.5000 0.5000 0.5000
S1 S 0.0000 0.5000 0.0000
S2 S 0.0000 0.0000 0.5000
S3 S 0.5000 0.0000 0.0000
```

Summary:
* calculated density: 2215 kg/m3
* SG: No. 221
* N(E_F): 1.28 states/eV/atom

***

Model two:
# CsBeS3

Crystalline CsBeS3 at its relaxed geometry (PBE, Alexandria).

```
data_CsBeS3
_chemical_formula_sum 'Cs1 Be1 S3'
_space_group_name_H-M_alt 'P 1'
_space_group_IT_number 1
_space_group_name_Hall 'P 1'
_cell_length_a 4.6989
_cell_length_b 4.6989
_cell_length_c 4.6989
_cell_angle_alpha 90.00
_cell_angle_beta 90.00
_cell_angle_gamma 90.00
loop_
_atom_site_label
_atom_site_type_symbol
_atom_site_fract_x
_atom_site_fract_y
_atom_site_fract_z
S1 S 0.5000 0.0000 0.0000
S2 S 0.0000 0.5000 0.0000
S3 S 0.0000 0.0000 0.5000
Cs1 Cs 0.5000 0.5000 0.5000
Be1 Be 0.0000 0.0000 0.0000
```

Summary:
* calculated density: 3811 kg/m3
* SG: No. 221
* N(E_F): 1.32 states/eV/atom

***

Ranking the structures above by energy, model two is first and the second is 1.800 eV/atom behind.